Record 1
# Li4Pu3GeN8 PBE optimized geometry
data_Li4Pu3GeN8
_cell_length_a 6.3450
_cell_length_b 6.3450
_cell_length_c 6.3450
_cell_angle_alpha 63.20
_cell_angle_beta 63.20
_cell_angle_gamma 63.20
_space_group_name_H-M_alt 'P 1'
_space_group_IT_number 1
loop_
_space_group_symop_operation_xyz
'x,y,z'
loop_
_atom_site_label
_atom_site_type_symbol
_atom_site_fract_x
_atom_site_fract_y
_atom_site_fract_z
Li1 Li 0.0000 0.0000 0.0000
Li2 Li 0.0000 0.5000 0.5000
Li3 Li 0.5000 0.0000 0.5000
Li4 Li 0.5000 0.5000 0.0000
Pu1 Pu 0.0000 0.0000 0.5000
Pu2 Pu 0.0000 0.5000 0.0000
Pu3 Pu 0.5000 0.0000 0.0000
Ge1 Ge 0.5000 0.5000 0.5000
N1 N 0.2371 0.2371 0.2371
N2 N 0.2390 0.7373 0.7373
N3 N 0.2627 0.2627 0.7610
N4 N 0.2627 0.7610 0.2627
N5 N 0.7373 0.2390 0.7373
N6 N 0.7373 0.7373 0.2390
N7 N 0.7610 0.2627 0.2627
N8 N 0.7629 0.7629 0.7629
# - energy relative to the elements, uncorrected (eV/atom) = -0.566
# - DOS(E_F) (states/eV per atom) = 0.93
# - space group = R-3m, No. 166

=====

Record 2
# DyHfSc PBE optimized geometry
data_DyHfSc
_cell_length_a 7.5326
_cell_length_b 7.5326
_cell_length_c 7.5326
_cell_angle_alpha 154.89
_cell_angle_beta 154.89
_cell_angle_gamma 35.81
_space_group_name_H-M_alt 'P 1'
_space_group_IT_number 1
loop_
_space_group_symop_operation_xyz
'x,y,z'
loop_
_atom_site_label
_atom_site_type_symbol
_atom_site_fract_x
_atom_site_fract_y
_atom_site_fract_z
Dy1 Dy 0.0000 0.0000 0.0000
Hf1 Hf 0.6655 0.6655 0.0000
Sc1 Sc 0.3143 0.3143 0.0000
# - DFT formation energy (eV/atom) = 0.09
# - DOS(E_F) (states/eV per atom) = 1.44
# - energy above the lowest structure with this stoichiometry (eV/f.u.) = 0.18
# - space group = I4mm, No. 107

=====

Record 3
# BiAs2I PBE optimized geometry
data_BiAs2I
_cell_length_a 5.2447
_cell_length_b 5.2447
_cell_length_c 5.2447
_cell_angle_alpha 60.00
_cell_angle_beta 60.00
_cell_angle_gamma 60.00
_space_group_name_H-M_alt 'P 1'
_space_group_IT_number 1
loop_
_space_group_symop_operation_xyz
'x,y,z'
loop_
_atom_site_label
_atom_site_type_symbol
_atom_site_fract_x
_atom_site_fract_y
_atom_site_fract_z
Bi1 Bi 0.0000 0.0000 0.0000
As1 As 0.2500 0.2500 0.2500
As2 As 0.7500 0.7500 0.7500
I1 I 0.5000 0.5000 0.5000
# - energy relative to the elements, uncorrected (eV/atom) = 0.515
# - DOS(E_F) (states/eV per atom) = 0.90
# - energy above the lowest structure with this stoichiometry (eV/f.u.) = 0.40
# - space group = Fm-3m, No. 225

=====

Record 4
# ZnOs PBE optimized geometry
data_ZnOs
_cell_length_a 4.8534
_cell_length_b 4.8534
_cell_length_c 4.8534
_cell_angle_alpha 90.00
_cell_angle_beta 90.00
_cell_angle_gamma 90.00
_space_group_name_H-M_alt 'P 1'
_space_group_IT_number 1
loop_
_space_group_symop_operation_xyz
'x,y,z'
loop_
_atom_site_label
_atom_site_type_symbol
_atom_site_fract_x
_atom_site_fract_y
_atom_site_fract_z
Zn1 Zn 0.0981 0.0981 0.0981
Zn2 Zn 0.4019 0.9019 0.5981
Zn3 Zn 0.5981 0.4019 0.9019
Zn4 Zn 0.9019 0.5981 0.4019
Os1 Os 0.1062 0.6062 0.8938
Os2 Os 0.3938 0.3938 0.3938
Os3 Os 0.6062 0.8938 0.1062
Os4 Os 0.8938 0.1062 0.6062
# - DFT formation energy (eV/atom) = 0.51
# - DOS(E_F) (states/eV per atom) = 1.26
# - space group = P2_13, No. 198

=====

Record 5
# SnTe2PdN PBE optimized geometry
data_SnTe2PdN
_cell_length_a 5.6731
_cell_length_b 5.6731
_cell_length_c 3.7398
_cell_angle_alpha 90.00
_cell_angle_beta 90.00
_cell_angle_gamma 90.00
_space_group_name_H-M_alt 'P 1'
_space_group_IT_number 1
loop_
_space_group_symop_operation_xyz
'x,y,z'
loop_
_atom_site_label
_atom_site_type_symbol
_atom_site_fract_x
_atom_site_fract_y
_atom_site_fract_z
Sn1 Sn 0.0000 0.0000 0.0000
Te1 Te 0.0000 0.5000 0.5000
Te2 Te 0.5000 0.0000 0.5000
Pd1 Pd 0.5000 0.5000 0.5000
N1 N 0.5000 0.5000 0.0000
# - energy relative to the elements, uncorrected (eV/atom) = 0.488
# - DOS(E_F) (states/eV per atom) = 0.66
# - energy above the lowest structure with this stoichiometry (eV/f.u.) = 0.00
# - space group = P4/mmm, No. 123

=====

Record 6
# Na2HoCrSe4 PBE optimized geometry
data_Na2HoCrSe4
_cell_length_a 6.8076
_cell_length_b 3.9685
_cell_length_c 7.3582
_cell_angle_alpha 90.00
_cell_angle_beta 108.30
_cell_angle_gamma 90.00
_space_group_name_H-M_alt 'P 1'
_space_group_IT_number 1
loop_
_space_group_symop_operation_xyz
'x,y,z'
loop_
_atom_site_label
_atom_site_type_symbol
_atom_site_fract_x
_atom_site_fract_y
_atom_site_fract_z
Na1 Na 0.0000 0.0000 0.0000
Na2 Na 0.5000 0.5000 0.0000
Ho1 Ho 0.0000 0.5000 0.5000
Cr1 Cr 0.5000 0.0000 0.5000
Se1 Se 0.2624 0.0000 0.7227
Se2 Se 0.2874 0.5000 0.2923
Se3 Se 0.7126 0.5000 0.7077
Se4 Se 0.7376 0.0000 0.2773
# - energy relative to the elements, uncorrected (eV/atom) = -1.205
# - space group = P2/m, No. 10

=====

- What is the formula in the fourth record?
  ZnOs